# 1
A plane-wave DFT calculation with PBE was carried out for a relaxed structure of MnBeSiAu2.

Cell and atoms, written as POSCAR:
```
MnBeSiAu2
1.0
4.534 0.000 0.000
0.000 4.534 0.000
0.000 0.000 4.123
Mn Be Si Au
1 1 1 2
direct
0.000 0.000 0.000
0.500 0.500 0.500
0.500 0.500 0.000
0.000 0.500 0.500
0.500 0.000 0.500
```

Calculated values
The calculation puts the formation energy (no corrections) at 385 meV/atom. The calculation puts the density of states at the Fermi level at 2.2 states/eV per cell. As for the volume: 16.95 Å³ per atom. Its calculated total energy is -4.589 eV per atom.


# 2
A plane-wave DFT calculation with PBE was carried out for a relaxed structure of MnBeZnAu.

Cell and atoms, written as POSCAR:
```
MnBeZnAu
1.0
6.013 0.000 0.000
0.000 6.013 0.000
0.000 0.000 6.013
Mn Be Zn Au
4 4 4 4
direct
0.000 0.000 0.000
0.000 0.500 0.500
0.500 0.000 0.500
0.500 0.500 0.000
0.250 0.250 0.750
0.250 0.750 0.250
0.750 0.250 0.250
0.750 0.750 0.750
0.250 0.250 0.250
0.250 0.750 0.750
0.750 0.250 0.750
0.750 0.750 0.250
0.000 0.000 0.500
0.000 0.500 0.000
0.500 0.000 0.000
0.500 0.500 0.500
```

Calculated values
The calculation puts the energy of formation at 0.005 eV per atom. The calculation puts the density of states at the Fermi level at 9.2 states/eV per cell. As for the volume: 13.59 Å³ per atom. Its calculated total energy is -4.357 eV per atom.


# 3
A plane-wave DFT calculation with PBE was carried out for a relaxed structure of BeMo2Au.

Cell and atoms, written as POSCAR:
```
BeMo2Au
1.0
3.186 0.000 0.000
0.000 3.186 0.000
0.000 0.000 5.895
Be Mo Au
1 2 1
direct
0.000 0.000 0.000
0.000 0.000 0.455
0.500 0.500 0.233
0.500 0.500 0.773
```

Calculated values
The calculation puts the energy of formation at 0.126 eV per atom. The calculation puts the density of states at the Fermi level at 3.3 states/eV per cell. The energy above the most stable polymorph in this dataset is 5 kJ/mol of formula units. As for the volume: 14.96 Å³ per atom. Its calculated total energy is -7.041 eV per atom.


# 4
A plane-wave DFT calculation with PBE was carried out for a relaxed structure of BeMo2Au.

Cell and atoms, written as POSCAR:
```
BeMo2Au
1.0
2.784 0.000 0.000
0.000 4.115 0.000
-0.809 0.000 5.237
Be Mo Au
1 2 1
direct
0.000 0.000 0.000
0.360 0.000 0.461
0.576 0.500 0.210
0.931 0.500 0.747
```

Calculated values
The calculation puts the energy of formation at 0.123 eV per atom. The calculation puts the density of states at the Fermi level at 2.1 states/eV per cell. The energy above the most stable polymorph in this dataset is 4 kJ/mol of formula units. As for the volume: 15.00 Å³ per atom. Its calculated total energy is -7.043 eV per atom.


# 5
A plane-wave DFT calculation with PBE was carried out for a relaxed structure of BeMoAu2.

Cell and atoms, written as POSCAR:
```
BeMoAu2
1.0
2.849 0.000 0.000
0.000 4.597 0.000
0.000 0.000 9.185
Be Mo Au
2 2 4
direct
0.000 0.000 0.000
0.500 0.500 0.500
0.000 0.000 0.500
0.500 0.500 0.000
0.000 0.500 0.292
0.000 0.500 0.708
0.500 0.000 0.208
0.500 0.000 0.792
```

Calculated values
The calculation puts the energy of formation at 0.261 eV per atom. The calculation puts the density of states at the Fermi level at 7.6 states/eV per cell. The energy above the most stable polymorph in this dataset is 91 kJ/mol of formula units. As for the volume: 15.04 Å³ per atom. Its calculated total energy is -5.017 eV per atom.


# 6
A plane-wave DFT calculation with PBE was carried out for a relaxed structure of BeMo2Au.

Cell and atoms, written as POSCAR:
```
BeMo2Au
1.0
3.669 0.000 0.000
0.000 3.669 0.000
0.000 0.000 4.381
Be Mo Au
1 2 1
direct
0.000 0.000 0.000
0.000 0.500 0.500
0.500 0.000 0.500
0.500 0.500 0.000
```

Calculated values
The calculation puts the energy of formation at 0.137 eV per atom. The calculation puts the density of states at the Fermi level at 1.3 states/eV per cell. The energy above the most stable polymorph in this dataset is 9 kJ/mol of formula units. As for the volume: 14.74 Å³ per atom. Its calculated total energy is -7.029 eV per atom.


# 7
A plane-wave DFT calculation with PBE was carried out for a relaxed structure of Be17MoAu.

Cell and atoms, written as POSCAR:
```
Be17MoAu
1.0
3.666 2.117 3.603
-3.666 2.117 3.603
0.000 -4.234 3.603
Be Mo Au
17 1 1
direct
0.000 0.500 0.500
0.060 0.060 0.060
0.158 0.461 0.858
0.158 0.858 0.461
0.172 0.172 0.652
0.172 0.652 0.172
0.261 0.261 0.261
0.317 0.810 0.810
0.461 0.158 0.858
0.461 0.858 0.158
0.500 0.000 0.500
0.500 0.500 0.000
0.652 0.172 0.172
0.810 0.317 0.810
0.810 0.810 0.317
0.858 0.158 0.461
0.858 0.461 0.158
0.492 0.492 0.492
0.789 0.789 0.789
```

Calculated values
The calculation puts the energy of formation at -0.089 eV per atom. The calculation puts the density of states at the Fermi level at 3.7 states/eV per cell. As for the volume: 8.83 Å³ per atom. Its calculated total energy is -4.166 eV per atom.


# 8
A plane-wave DFT calculation with PBE was carried out for a relaxed structure of BeMoAu2.

Cell and atoms, written as POSCAR:
```
BeMoAu2
1.0
2.759 0.000 0.000
0.000 4.366 0.000
0.000 0.000 10.181
Be Mo Au
2 2 4
direct
0.000 0.000 0.000
0.500 0.500 0.500
0.000 0.500 0.703
0.500 0.000 0.203
0.000 0.000 0.503
0.000 0.500 0.304
0.500 0.000 0.804
0.500 0.500 0.003
```

Calculated values
The calculation puts the energy of formation at 0.209 eV per atom. The calculation puts the density of states at the Fermi level at 5.3 states/eV per cell. The energy above the most stable polymorph in this dataset is 71 kJ/mol of formula units. As for the volume: 15.33 Å³ per atom. Its calculated total energy is -5.069 eV per atom.